1.
## TlCoPt2 (meta-GGA SCAN)

Data for TlCoPt2 at its PBEsol-relaxed geometry.

Unit cell a=2.879 b=2.879 c=7.488 alpha=90.00 beta=90.00 gamma=90.00
Space group P4mm (No. 99)
Unique sites:
Tl1 0.000 0.000 0.000 (multiplicity 1)
Co1 0.500 0.500 0.258 (multiplicity 1)
Pt1 0.000 0.000 0.461 (multiplicity 1)
Pt2 0.500 0.500 0.719 (multiplicity 1)

- energy of formation (eV/atom) = 0.242
- calculated volume (Å³ per cell) = 62

---

2.
## TlCoPt2 (meta-GGA SCAN)

Data for TlCoPt2 at its PBEsol-relaxed geometry.

Unit cell a=8.935 b=2.859 c=5.028 alpha=90.00 beta=101.35 gamma=90.00
Space group Cm (No. 8)
Unique sites:
Tl1 0.000 0.000 0.000 (multiplicity 2)
Co1 0.254 0.000 0.705 (multiplicity 2)
Pt1 0.013 0.500 0.524 (multiplicity 2)
Pt2 0.258 0.500 0.263 (multiplicity 2)

- energy of formation (eV/atom) = 0.156
- calculated volume (Å³ per cell) = 126

---

3.
## TlCoPt2 (meta-GGA SCAN)

Data for TlCoPt2 at its PBEsol-relaxed geometry.

Unit cell a=4.017 b=4.017 c=7.648 alpha=90.00 beta=90.00 gamma=90.00
Space group I-4m2 (No. 119)
Unique sites:
Tl1 0.000 0.000 0.000 (multiplicity 2)
Co1 0.000 0.500 0.250 (multiplicity 2)
Pt1 0.000 0.000 0.500 (multiplicity 2)
Pt2 0.000 0.500 0.750 (multiplicity 2)

- energy of formation (eV/atom) = 0.179
- calculated volume (Å³ per cell) = 123

---

What did the third record say?
## TlCoPt2 (meta-GGA SCAN)

Data for TlCoPt2 at its PBEsol-relaxed geometry.

Unit cell a=4.017 b=4.017 c=7.648 alpha=90.00 beta=90.00 gamma=90.00
Space group I-4m2 (No. 119)
Unique sites:
Tl1 0.000 0.000 0.000 (multiplicity 2)
Co1 0.000 0.500 0.250 (multiplicity 2)
Pt1 0.000 0.000 0.500 (multiplicity 2)
Pt2 0.000 0.500 0.750 (multiplicity 2)

- energy of formation (eV/atom) = 0.179
- calculated volume (Å³ per cell) = 123

---

What did the third record say?
## TlCoPt2 (meta-GGA SCAN)

Data for TlCoPt2 at its PBEsol-relaxed geometry.

Unit cell a=4.017 b=4.017 c=7.648 alpha=90.00 beta=90.00 gamma=90.00
Space group I-4m2 (No. 119)
Unique sites:
Tl1 0.000 0.000 0.000 (multiplicity 2)
Co1 0.000 0.500 0.250 (multiplicity 2)
Pt1 0.000 0.000 0.500 (multiplicity 2)
Pt2 0.000 0.500 0.750 (multiplicity 2)

- energy of formation (eV/atom) = 0.179
- calculated volume (Å³ per cell) = 123

---

> energy of formation of number 2 (TlCoPt2)?

0.156 eV/atom